Entry 1:
A relaxed structure of PrBiPd2, computed with PBEsol.

extended XYZ file:
```
4
Lattice="0.000 3.483 3.483 3.483 0.000 3.483 3.483 3.483 0.000" Properties=species:S:1:pos:R:3 pbc="T T T"
Pr 0.000 0.000 0.000
Bi 3.483 3.483 3.483
Pd 1.742 1.742 1.742
Pd 5.225 5.225 5.225
```

Density of states at the Fermi level = 1.56 states/eV per cell
Uncorrected energy = -24.13 eV/f.u.
DFT formation energy = -686 meV/atom

---

Entry 2:
A relaxed structure of BaMo2Pb, computed with PBEsol.

extended XYZ file:
```
4
Lattice="3.332 0.000 0.000 0.000 3.332 0.000 0.000 0.000 8.417" Properties=species:S:1:pos:R:3 pbc="T T T"
Ba 0.000 0.000 0.000
Mo 0.000 0.000 3.668
Mo 1.666 1.666 2.545
Pb 1.666 1.666 5.634
```

Density of states at the Fermi level = 4.80 states/eV per cell
Uncorrected energy = -28.13 eV/f.u.
DFT formation energy = 387 meV/atom

---

Entry 3:
A relaxed structure of Sc2ZnTc, computed with PBEsol.

extended XYZ file:
```
4
Lattice="3.287 0.000 0.000 0.000 3.287 0.000 0.000 0.000 6.357" Properties=species:S:1:pos:R:3 pbc="T T T"
Sc 0.000 0.000 1.479
Sc 0.000 0.000 4.878
Zn 1.644 1.644 3.179
Tc 1.644 1.644 0.000
```

Density of states at the Fermi level = 3.90 states/eV per cell
Uncorrected energy = -27.24 eV/f.u.
DFT formation energy = -295 meV/atom

---

Entry 4:
A relaxed structure of MoPbCl2, computed with PBEsol.

extended XYZ file:
```
4
Lattice="-2.245 2.245 4.213 2.245 -2.245 4.213 2.245 2.245 -4.213" Properties=species:S:1:pos:R:3 pbc="T T T"
Mo 0.000 0.000 0.000
Pb 0.000 0.000 4.213
Cl 2.245 0.000 2.107
Cl 0.000 2.245 2.107
```

E_form (uncorrected) = 196 kJ/mol of formula units
Density of states at the Fermi level = 4.46 states/eV per cell
Uncorrected energy = -17.75 eV/f.u.

---

Entry 5:
A relaxed structure of CuReSe2, computed with PBEsol.

extended XYZ file:
```
4
Lattice="1.545 0.892 8.093 -1.545 0.892 8.093 0.000 -1.784 8.093" Properties=species:S:1:pos:R:3 pbc="T T T"
Cu 0.000 0.000 0.000
Re 0.000 0.000 12.140
Se 0.000 0.000 9.788
Se 0.000 0.000 14.492
```

E_form (uncorrected) = 211 kJ/mol of formula units
Density of states at the Fermi level = 2.59 states/eV per cell
Uncorrected energy = -23.18 eV/f.u.

---

Entry 6:
A relaxed structure of LaInRh, computed with PBEsol.

extended XYZ file:
```
9
Lattice="7.542 0.000 0.000 -3.771 6.531 0.000 0.000 0.000 4.084" Properties=species:S:1:pos:R:3 pbc="T T T"
La -1.557 2.698 0.000
La 3.115 0.000 0.000
La 2.213 3.834 0.000
In -2.840 4.919 2.042
In 0.931 1.612 2.042
In 5.680 0.000 2.042
Rh 0.000 0.000 0.000
Rh 0.000 4.354 2.042
Rh 3.771 2.177 2.042
```

Density of states at the Fermi level = 7.01 states/eV per cell
Uncorrected energy = -18.61 eV/f.u.
DFT formation energy = -714 meV/atom

---

Entry 7:
A relaxed structure of Sc8Te, computed with PBEsol.

extended XYZ file:
```
9
Lattice="-4.859 4.859 2.167 4.859 -4.859 2.167 4.859 4.859 -2.167" Properties=species:S:1:pos:R:3 pbc="T T T"
Sc 3.256 0.000 0.000
Sc 6.462 0.000 0.000
Sc 0.000 3.256 0.000
Sc 3.261 3.261 0.000
Sc 1.598 -1.598 2.167
Sc -1.598 1.598 2.167
Sc 1.598 1.598 2.167
Sc 0.000 6.462 0.000
Te 0.000 0.000 0.000
```

E_form (uncorrected) = -177 kJ/mol of formula units
Density of states at the Fermi level = 14.72 states/eV per cell
Uncorrected energy = -58.20 eV/f.u.

---

Entry 8:
A relaxed structure of La2TeP, computed with PBEsol.

extended XYZ file:
```
4
Lattice="-1.962 2.008 7.503 1.962 -2.008 7.503 1.962 2.008 -7.503" Properties=species:S:1:pos:R:3 pbc="T T T"
La 0.000 0.000 0.000
La 0.000 2.008 3.337
Te 0.000 0.000 5.895
P 1.962 0.000 2.201
```

E_form (uncorrected) = -536 kJ/mol of formula units
Density of states at the Fermi level = 2.66 states/eV per cell
Uncorrected energy = -25.56 eV/f.u.

---

What is the formula in the eighth record?
La2TeP